Record 1
Density functional theory data (GGA-PBE) for SrWBr2 after structural relaxation.

Lattice parameters (Å, degrees): 5.111 5.111 5.111 60.00 60.00 60.00
Atoms (fractional coordinates):
Sr 0.000 0.000 0.000
W 0.500 0.500 0.500
Br 0.250 0.250 0.250
Br 0.750 0.750 0.750

Values from the calculation:
E_form (uncorrected) ... 0.491 eV/atom
Magnetic moment ... 1.9 Bohr magnetons per cell
Calculated volume ... 94.4 Å³/cell
D(E_F) ... 4.697 states/eV per cell
Distance to the lowest polymorph of the same formula ... 478 meV per atom

Record 2
Density functional theory data (GGA-PBE) for SrWBr2 after structural relaxation.

Lattice parameters (Å, degrees): 4.009 4.549 6.767 90.00 107.21 90.00
Atoms (fractional coordinates):
Sr 0.000 0.000 0.000
W 0.617 0.500 0.233
Br 0.414 0.500 0.829
Br 0.735 0.000 0.465

Values from the calculation:
E_form (uncorrected) ... 0.194 eV/atom
Magnetic moment ... 3.8 Bohr magnetons per cell
Calculated volume ... 117.9 Å³/cell
D(E_F) ... 2.781 states/eV per cell
Distance to the lowest polymorph of the same formula ... 181 meV per atom

Record 3
Density functional theory data (GGA-PBE) for SrWBr2 after structural relaxation.

Lattice parameters (Å, degrees): 5.519 5.519 5.519 60.00 60.00 60.00
Atoms (fractional coordinates):
Sr 0.000 0.000 0.000
W 0.250 0.250 0.250
Br 0.500 0.500 0.500
Br 0.750 0.750 0.750

Values from the calculation:
E_form (uncorrected) ... 0.542 eV/atom
Magnetic moment ... 6.0 Bohr magnetons per cell
Calculated volume ... 118.9 Å³/cell
D(E_F) ... 2.245 states/eV per cell
Distance to the lowest polymorph of the same formula ... 529 meV per atom

Record 4
Density functional theory data (GGA-PBE) for SrWBr2 after structural relaxation.

Lattice parameters (Å, degrees): 5.038 5.038 3.561 90.00 90.00 90.00
Atoms (fractional coordinates):
Sr 0.000 0.000 0.000
W 0.500 0.500 0.000
Br 0.000 0.500 0.500
Br 0.500 0.000 0.500

Values from the calculation:
E_form (uncorrected) ... 0.390 eV/atom
Magnetic moment ... 1.7 Bohr magnetons per cell
Calculated volume ... 90.4 Å³/cell
D(E_F) ... 2.608 states/eV per cell
Distance to the lowest polymorph of the same formula ... 377 meV per atom

Record 5
Density functional theory data (GGA-PBE) for SrW3Br after structural relaxation.

Lattice parameters (Å, degrees): 4.965 4.965 4.965 90.00 90.00 90.00
Atoms (fractional coordinates):
Sr 0.000 0.000 0.000
W 0.000 0.000 0.500
W 0.000 0.500 0.000
W 0.500 0.000 0.000
Br 0.500 0.500 0.500

Values from the calculation:
E_form (uncorrected) ... 3.939 eV/atom
Magnetic moment ... 0.0 Bohr magnetons per cell
Calculated volume ... 122.4 Å³/cell
D(E_F) ... 7.399 states/eV per cell
Distance to the lowest polymorph of the same formula ... 1956 meV per atom

Record 6
Density functional theory data (GGA-PBE) for SrY2Br after structural relaxation.

Lattice parameters (Å, degrees): 7.587 7.587 3.745 104.04 104.04 128.14
Atoms (fractional coordinates):
Sr 0.000 0.000 0.000
Y 0.000 0.500 0.500
Y 0.500 0.000 0.500
Br 0.500 0.500 0.000

Values from the calculation:
E_form (uncorrected) ... -0.240 eV/atom
Magnetic moment ... 0.0 Bohr magnetons per cell
Calculated volume ... 141.1 Å³/cell
D(E_F) ... 5.099 states/eV per cell
Distance to the lowest polymorph of the same formula ... 265 meV per atom

Record 7
Density functional theory data (GGA-PBE) for SrY2Br after structural relaxation.

Lattice parameters (Å, degrees): 3.654 7.142 7.142 45.03 90.00 90.00
Atoms (fractional coordinates):
Sr 0.000 0.000 0.000
Y 0.000 0.720 0.720
Y 0.500 0.301 0.301
Br 0.500 0.524 0.524

Values from the calculation:
E_form (uncorrected) ... -0.458 eV/atom
Magnetic moment ... 0.0 Bohr magnetons per cell
Calculated volume ... 131.9 Å³/cell
D(E_F) ... 4.819 states/eV per cell
Distance to the lowest polymorph of the same formula ... 47 meV per atom

Record 8
Density functional theory data (GGA-PBE) for SrY2Br after structural relaxation.

Lattice parameters (Å, degrees): 5.977 5.977 3.802 90.00 90.00 90.00
Atoms (fractional coordinates):
Sr 0.000 0.000 0.000
Y 0.000 0.500 0.500
Y 0.500 0.000 0.500
Br 0.500 0.500 0.000

Values from the calculation:
E_form (uncorrected) ... 0.008 eV/atom
Magnetic moment ... 0.0 Bohr magnetons per cell
Calculated volume ... 135.8 Å³/cell
D(E_F) ... 4.310 states/eV per cell
Distance to the lowest polymorph of the same formula ... 513 meV per atom

What is the D(E_F) in the third record?
2.245 states/eV per cell

Which formula does entry 2 have?
SrWBr2

Among the records above, which one has the lowest E_form (uncorrected)?
number 7

What is the formula in the fourth record?
SrWBr2